(1)
Compound: Pr2Nd2CBr4Cl
Source: OQMD via LeMat-Bulk
Functional: GGA-PBE
Structure: relaxed

Unit cell a=18.4724 b=3.9549 c=8.2442 alpha=90.00 beta=103.70 gamma=90.00
With the nearest neighbours (Å) after each atom.
Space group C2/m (No. 12)
Symmetry-distinct sites (fractional):
Pr 0.0012 0.0000 0.2859  2 C 2.65
Nd 0.1408 0.5000 0.5797  1 C 2.53
C 0.0000 0.5000 0.5000  2 Nd 2.53, 4 Pr 2.65
Br 0.1649 0.0000 0.8546  2 Nd 2.96, 1 Pr 3.01
Br 0.1711 0.0000 0.3287  2 Nd 3.01, 1 Pr 3.07
Cl 0.0000 0.5000 0.0000  4 Pr 3.07

Calculated values
VASP energy in eV/atom: -5.165
Total magnetization in μB/cell: 0.3

(2)
Compound: Tm2Ni2Pb
Source: OQMD via LeMat-Bulk
Functional: GGA-PBE
Structure: relaxed

Unit cell a=4.0167 b=14.0997 c=3.5871 alpha=90.00 beta=90.00 gamma=90.00
With the nearest neighbours (Å) after each atom.
Space group Cmmm (No. 65)
Symmetry-distinct sites (fractional):
Tm 0.0000 0.1416 0.0000  6 Ni 2.82-2.86
Ni 0.0000 0.2996 0.5000  2 Ni 2.45
Pb 0.0000 0.5000 0.5000  2 Ni 2.83

Calculated values
VASP energy in eV/atom: -5.290
Total magnetization in μB/cell: 0.0

(3)
Compound: ThScPb
Source: OQMD via LeMat-Bulk
Functional: GGA-PBE
Structure: relaxed

Unit cell a=7.2730 b=7.2730 c=7.2730 alpha=90.00 beta=90.00 gamma=90.00
With the nearest neighbours (Å) after each atom.
Space group F-43m (No. 216)
Symmetry-distinct sites (fractional):
Th 0.0000 0.0000 0.0000  4 Pb 3.15
Sc 0.0000 0.0000 0.5000  4 Pb 3.15
Pb 0.2500 0.2500 0.7500  4 Th 3.15, 4 Sc 3.15

Calculated values
VASP energy in eV/atom: -5.729
Total magnetization in μB/cell: 0.3
Offset from the most stable computed form in eV/f.u.: 0.00

(4)
Compound: NaCuCl3
Source: OQMD via LeMat-Bulk
Functional: GGA-PBE
Structure: relaxed

Unit cell a=6.3904 b=7.0490 c=11.0992 alpha=90.00 beta=124.80 gamma=90.00
With the nearest neighbours (Å) after each atom.
Space group P2_1/c (No. 14)
Symmetry-distinct sites (fractional):
Na 0.2170 0.0960 0.2486  7 Cl 2.83-3.16
Cu 0.0000 0.0000 0.5000  4 Cl 2.25-2.39
Cu 0.5000 0.0000 0.0000  4 Cl 2.26-2.36
Cl 0.1604 0.1709 0.9508  1 Cu 2.26
Cl 0.2390 0.6691 0.9489  1 Cu 2.25
Cl 0.3559 0.0111 0.7512  2 Cu 2.36-2.39

Calculated values
VASP energy in eV/atom: -3.100

(5)
Compound: LaAgHg2
Source: OQMD via LeMat-Bulk
Functional: GGA-PBE
Structure: relaxed

Unit cell a=4.6422 b=4.6422 c=4.8317 alpha=90.00 beta=90.00 gamma=90.00
With the nearest neighbours (Å) after each atom.
Space group P4/mmm (No. 123)
Symmetry-distinct sites (fractional):
La 0.0000 0.0000 0.0000  4 Ag 3.28, 8 Hg 3.35
Ag 0.5000 0.5000 0.0000  4 La 3.28, 8 Hg 3.35
Hg 0.0000 0.5000 0.5000  4 Hg 3.28, 4 La 3.35, 4 Ag 3.35

Calculated values
ΔH_f (0 K) in eV/atom: -0.256
VASP energy in eV/atom: -2.341
Total magnetization in μB/cell: 0.1

(6)
Compound: CsHfPa
Source: OQMD via LeMat-Bulk
Functional: GGA-PBE
Structure: relaxed

Unit cell a=7.2081 b=7.2081 c=7.2081 alpha=90.00 beta=90.00 gamma=90.00
With the nearest neighbours (Å) after each atom.
Space group F-43m (No. 216)
Symmetry-distinct sites (fractional):
Cs 0.0000 0.0000 0.0000  4 Hf 3.12, 4 Pa 3.12
Hf 0.2500 0.2500 0.7500  4 Cs 3.12
Pa 0.2500 0.2500 0.2500  4 Cs 3.12

Calculated values
VASP energy in eV/atom: -4.556
Total magnetization in μB/cell: 8.0
Offset from the most stable computed form in eV/f.u.: 0.71

(7)
Compound: NdYPd
Source: OQMD via LeMat-Bulk
Functional: GGA-PBE
Structure: relaxed

Unit cell a=7.0092 b=7.0092 c=7.0092 alpha=90.00 beta=90.00 gamma=90.00
With the nearest neighbours (Å) after each atom.
Space group F-43m (No. 216)
Symmetry-distinct sites (fractional):
Nd 0.0000 0.0000 0.0000  4 Pd 3.04
Y 0.0000 0.0000 0.5000  4 Pd 3.04
Pd 0.2500 0.2500 0.2500  4 Nd 3.04, 4 Y 3.04

Calculated values
ΔH_f (0 K) in eV/atom: -0.414
VASP energy in eV/atom: -5.882
Total magnetization in μB/cell: 0.0
Offset from the most stable computed form in eV/f.u.: 0.00

(8)
Compound: PmBeO3
Source: OQMD via LeMat-Bulk
Functional: GGA-PBE
Structure: relaxed

Unit cell a=5.1244 b=7.2051 c=5.0774 alpha=90.00 beta=90.00 gamma=90.00
With the nearest neighbours (Å) after each atom.
Space group Imma (No. 74)
Symmetry-distinct sites (fractional):
Pm 0.0000 0.2500 0.0000  12 O 2.51-2.57
Be 0.0000 0.0000 0.5000  6 O 1.80
O 0.0000 0.2500 0.4947  2 Be 1.80
O 0.2500 0.0026 0.7500  2 Be 1.80

Calculated values
VASP energy in eV/atom: -7.138
Total magnetization in μB/cell: 4.0

(9)
Compound: CsDyO3
Source: OQMD via LeMat-Bulk
Functional: GGA-PBE
Structure: relaxed

Unit cell a=6.5554 b=6.5554 c=16.8194 alpha=90.00 beta=90.00 gamma=120.00
With the nearest neighbours (Å) after each atom.
Space group R-3 (No. 148, hexagonal axes)
Symmetry-distinct sites (fractional):
Cs 0.0000 0.0000 0.1200  6 O 3.03-3.25
Dy 0.0000 0.0000 0.3448  6 O 2.21-2.25
O 0.0172 0.5303 0.9314  2 Dy 2.21-2.25, 1 O 2.33

Calculated values
VASP energy in eV/atom: -5.951
Total magnetization in μB/cell: 12.0

(10)
Compound: BaAg2BiSb
Source: OQMD via LeMat-Bulk
Functional: GGA-PBE
Structure: relaxed

Unit cell a=4.9172 b=4.8537 c=11.9355 alpha=90.00 beta=90.40 gamma=90.00
With the nearest neighbours (Å) after each atom.
Space group P2_1/m (No. 11)
Symmetry-distinct sites (fractional):
Ba 0.2457 0.2500 0.2324  8 Ag 3.58-3.84, 4 Sb 3.62-3.74, 2 Bi 4.01
Ag 0.2192 0.7500 0.0002  4 Sb 2.87-2.90
Ag 0.2486 0.2500 0.6463  1 Sb 2.71, 4 Bi 2.99-3.02
Bi 0.2516 0.7500 0.4994  4 Ag 2.99-3.02
Sb 0.2747 0.2500 0.8734  5 Ag 2.71-2.90

Calculated values
VASP energy in eV/atom: -3.638
Offset from the most stable computed form in eV/f.u.: 0.00

(11)
Compound: KPrMg
Source: OQMD via LeMat-Bulk
Functional: GGA-PBE
Structure: relaxed

Unit cell a=7.8670 b=7.8670 c=7.8670 alpha=90.00 beta=90.00 gamma=90.00
With the nearest neighbours (Å) after each atom.
Space group F-43m (No. 216)
Symmetry-distinct sites (fractional):
K 0.0000 0.0000 0.0000  4 Mg 3.41, 4 Pr 3.41
Pr 0.2500 0.2500 0.2500  4 K 3.41
Mg 0.2500 0.2500 0.7500  4 K 3.41

Calculated values
VASP energy in eV/atom: -1.577
Total magnetization in μB/cell: 4.3

(12)
Compound: PW
Source: OQMD via LeMat-Bulk
Functional: GGA-PBE
Structure: relaxed

Unit cell a=5.0923 b=4.3004 c=6.6668 alpha=90.00 beta=90.00 gamma=90.00
With the nearest neighbours (Å) after each atom.
Space group Pmma (No. 51)
Symmetry-distinct sites (fractional):
P 0.2500 0.0000 0.1442  2 W 2.34
P 0.2500 0.5000 0.6571  7 W 2.51-2.71
W 0.0000 0.0000 0.5000  2 W 2.55, 6 P 2.69-2.71
W 0.2500 0.5000 0.2811  5 P 2.34-2.58

Calculated values
VASP energy in eV/atom: -9.008
Total magnetization in μB/cell: 0.0